Ba2CoIrO6: relaxed, PBE+U.

Cell and atoms, written as extended XYZ:
```
20
Lattice="4.9485 -2.8651 0.0346 -4.9485 -2.8651 -0.0346 -1.5945 2.8651 -9.5040" Properties=species:S:1:pos:R:3 pbc="T T T"
O 0.8742 -1.4597 -1.1402
Co 0.0000 0.0000 0.0000
Ba -1.6237 -2.8651 -5.8432
O -2.5118 -1.3012 -3.5625
O -4.0311 -1.3012 -5.9760
O -4.9157 0.0000 -8.3563
O 3.3212 -2.8651 -1.1477
O 0.1716 -2.8651 -3.5274
O -1.7660 0.0000 -5.9765
O 0.8742 -4.2705 -1.1402
O -2.4686 1.4054 -8.3638
O 0.9174 -1.5639 -5.9414
O -2.4686 -1.4054 -8.3638
Ba 0.0292 0.0000 -3.6607
O 2.4366 -1.5639 -3.5280
Co -3.2715 0.0000 -4.7693
Ba 0.0329 0.0000 -8.2182
Ba -1.6273 -2.8651 -1.2858
Ir -3.2771 0.0000 -7.3032
Ir 1.6826 -2.8651 -2.2008
```

Summary:
calculated total energy: -6.436 eV per atom